Here is crystalline TlTc2Mo at its relaxed geometry from Alexandria via LeMat-Bulk. Energies are from PBEsol.

Calculated values
The calculation puts the volume at 64.8 Å³ per cell. As for the formation energy: 150 kJ/mol of formula units. The value obtained for the total moment is 0.00 μB per atom.

abc: 3.089 3.089 6.788
angles: 90.00 90.00 90.00
Fractional positions:
Mo: 0.500 0.500 0.500
Tc: 0.000 0.000 0.718
Tc: 0.000 0.000 0.282
Tl: 0.500 0.500 0.000


Here is crystalline PrOs2 at its relaxed geometry from Alexandria via LeMat-Bulk. Energies are from PBEsol.

Calculated values
The calculation puts the volume at 111.3 Å³ per cell. As for the formation energy: -2 kJ/mol of formula units. The value obtained for the total moment is 0.00 μB per atom.

abc: 5.400 5.400 5.400
angles: 60.00 60.00 60.00
Fractional positions:
Pr: 0.250 0.250 0.250
Pr: 0.000 0.000 0.000
Os: 0.625 0.625 0.125
Os: 0.625 0.125 0.625
Os: 0.625 0.625 0.625
Os: 0.125 0.625 0.625


Here is crystalline TaFe2Ir at its relaxed geometry from Alexandria via LeMat-Bulk. Energies are from PBEsol.

Calculated values
The calculation puts the volume at 53.3 Å³ per cell. As for the formation energy: -76 kJ/mol of formula units. The value obtained for the total moment is 0.20 μB per atom.

abc: 3.725 3.725 4.658
angles: 113.57 113.57 90.00
Site moments in Bohr magnetons follow the coordinates.
Fractional positions:
Fe: 0.000 0.000 0.000  1.62
Fe: 0.750 0.250 0.500  -0.85
Ir: 0.500 0.500 0.000  0.06
Ta: 0.250 0.750 0.500  -0.05


Here is crystalline CsHgBr3 at its relaxed geometry from Alexandria via LeMat-Bulk. Energies are from PBEsol.

Calculated values
The calculation puts the volume at 1078.1 Å³ per cell. The value obtained for the total moment is 0.00 μB per atom. For the total energy, the calculation gives -2.4296 eV per atom.

abc: 7.904 12.369 12.769
angles: 69.12 71.97 71.37
Fractional positions:
Cs: 0.500 0.500 0.000
Cs: 0.000 0.000 0.500
Cs: 0.816 0.503 0.318
Cs: 0.636 0.997 0.182
Cs: 0.184 0.497 0.682
Cs: 0.364 0.003 0.818
Hg: 0.753 0.250 0.750
Hg: 0.247 0.750 0.250
Hg: 0.906 0.751 0.922
Hg: 0.578 0.749 0.578
Hg: 0.094 0.249 0.078
Hg: 0.422 0.251 0.422
Br: 0.892 0.029 0.786
Br: 0.707 0.471 0.714
Br: 0.108 0.971 0.214
Br: 0.293 0.529 0.286
Br: 0.065 0.793 0.043
Br: 0.901 0.707 0.457
Br: 0.935 0.207 0.957
Br: 0.099 0.293 0.543
Br: 0.810 0.762 0.745
Br: 0.317 0.738 0.755
Br: 0.190 0.238 0.255
Br: 0.683 0.262 0.245
Br: 0.000 0.500 0.000
Br: 0.500 0.000 0.500
Br: 0.595 0.282 0.566
Br: 0.443 0.218 0.934
Br: 0.405 0.718 0.434
Br: 0.557 0.782 0.066


> Which value of total moment does entry 1 give?

0.00 μB per atom


> Which value of volume does entry 4 give?

1078.1 Å³ per cell


Please write out number 3 again, unchanged.
Here is crystalline TaFe2Ir at its relaxed geometry from Alexandria via LeMat-Bulk. Energies are from PBEsol.

Calculated values
The calculation puts the volume at 53.3 Å³ per cell. As for the formation energy: -76 kJ/mol of formula units. The value obtained for the total moment is 0.20 μB per atom.

abc: 3.725 3.725 4.658
angles: 113.57 113.57 90.00
Site moments in Bohr magnetons follow the coordinates.
Fractional positions:
Fe: 0.000 0.000 0.000  1.62
Fe: 0.750 0.250 0.500  -0.85
Ir: 0.500 0.500 0.000  0.06
Ta: 0.250 0.750 0.500  -0.05


Please write out number 4 again, unchanged.
Here is crystalline CsHgBr3 at its relaxed geometry from Alexandria via LeMat-Bulk. Energies are from PBEsol.

Calculated values
The calculation puts the volume at 1078.1 Å³ per cell. The value obtained for the total moment is 0.00 μB per atom. For the total energy, the calculation gives -2.4296 eV per atom.

abc: 7.904 12.369 12.769
angles: 69.12 71.97 71.37
Fractional positions:
Cs: 0.500 0.500 0.000
Cs: 0.000 0.000 0.500
Cs: 0.816 0.503 0.318
Cs: 0.636 0.997 0.182
Cs: 0.184 0.497 0.682
Cs: 0.364 0.003 0.818
Hg: 0.753 0.250 0.750
Hg: 0.247 0.750 0.250
Hg: 0.906 0.751 0.922
Hg: 0.578 0.749 0.578
Hg: 0.094 0.249 0.078
Hg: 0.422 0.251 0.422
Br: 0.892 0.029 0.786
Br: 0.707 0.471 0.714
Br: 0.108 0.971 0.214
Br: 0.293 0.529 0.286
Br: 0.065 0.793 0.043
Br: 0.901 0.707 0.457
Br: 0.935 0.207 0.957
Br: 0.099 0.293 0.543
Br: 0.810 0.762 0.745
Br: 0.317 0.738 0.755
Br: 0.190 0.238 0.255
Br: 0.683 0.262 0.245
Br: 0.000 0.500 0.000
Br: 0.500 0.000 0.500
Br: 0.595 0.282 0.566
Br: 0.443 0.218 0.934
Br: 0.405 0.718 0.434
Br: 0.557 0.782 0.066